This record from Alexandria via LeMat-Bulk describes a relaxed structure of InGeAs2Ir. The functional is PBE.

Lattice parameters (Å, degrees): 5.1443 4.9832 5.1443 90.00 90.00 90.00
Last column: nearest neighbours and their distance in Å.
Fractional positions:
As  0.0000  0.0000  0.5000  2 In 2.57
As  0.5000  0.0000  0.0000  2 In 2.57
Ir  0.0000  0.5000  0.0000  2 In 2.49
Ge  0.5000  0.5000  0.5000  8 As 3.58, 4 Ir 3.64
In  0.0000  0.0000  0.0000  2 Ir 2.49, 4 As 2.57

Summary:
Spin magnetization: 0.0 μB per formula unit
E: -3.719 eV/atom
E_form: 1.384 eV per atom